FeNiHg2: relaxed, PBE.

Unit cell a=8.813 b=8.813 c=8.813 alpha=19.63 beta=19.63 gamma=19.63
Each line ends with the local moment (μB).
Sites, in units of the cell vectors:
1 Hg 0.503 0.503 0.503  -0.02
2 Hg 0.997 0.997 0.997  -0.02
3 Ni 0.250 0.250 0.250  0.22
4 Fe 0.750 0.750 0.750  2.83

Its space-group type is No. 166.

---

CaBiPd: relaxed, PBE.

Unit cell a=3.963 b=3.963 c=5.477 alpha=111.21 beta=111.21 gamma=90.00
Sites, in units of the cell vectors:
1 Pd 0.956 0.956 0.912
2 Bi 0.287 0.287 0.574
3 Ca 0.607 0.607 0.214

Its space-group type is No. 107.

---

Tb3Zn4Au2: relaxed, PBE.

Unit cell a=4.510 b=5.752 c=8.369 alpha=72.95 beta=74.37 gamma=66.92
Sites, in units of the cell vectors:
1 Zn 0.042 0.299 0.618
2 Zn 0.275 0.397 0.053
3 Zn 0.725 0.603 0.947
4 Zn 0.958 0.701 0.382
5 Au 0.605 0.060 0.729
6 Au 0.395 0.940 0.271
7 Tb 0.000 0.000 0.000
8 Tb 0.327 0.685 0.661
9 Tb 0.673 0.315 0.339

Its space-group type is No. 12.

---

Results for DOS at the Fermi energy: 0.85 0.29 0.75 (in states/eV per atom, following the order of the records).
Results for E: -3.28 -4.19 -3.40 (in eV per atom, following the order of the records).